Model A:
BeAlAu3: relaxed, GGA-PBE.

## Properties
As for the space group: Pm-3m. As for the size of the total moment: 0.000 Bohr magnetons per cell. The value obtained for the density of states at the Fermi level is 1.82 states/eV/f.u.

Cell: 4.475 4.475 4.475 Å, 90.00 90.00 90.00°
Fractional positions:
Be1 0.000 0.000 0.000
Al1 0.500 0.500 0.500
Au1 0.000 0.000 0.500
Au2 0.000 0.500 0.000
Au3 0.500 0.000 0.000

Model B:
BeAlAu3: relaxed, GGA-PBE.

## Properties
As for the space group: P1. As for the size of the total moment: 0.000 Bohr magnetons per cell. The value obtained for the density of states at the Fermi level is 1.27 states/eV/f.u.

Cell: 4.354 4.364 8.459 Å, 75.26 90.00 89.97°
Fractional positions:
Be1 0.000 0.000 0.000
Be2 0.499 0.290 0.408
Al1 0.499 0.492 0.013
Al2 0.999 0.798 0.395
Au1 0.499 0.083 0.832
Au2 0.499 0.707 0.573
Au3 0.499 0.897 0.202
Au4 0.999 0.207 0.575
Au5 0.999 0.393 0.205
Au6 0.999 0.584 0.834

Model C:
BeAlAu3: relaxed, GGA-PBE.

## Properties
As for the space group: Pm-3m. As for the size of the total moment: 0.000 Bohr magnetons per cell. The value obtained for the density of states at the Fermi level is 1.94 states/eV/f.u.

Cell: 4.799 4.799 4.799 Å, 90.00 90.00 90.00°
Fractional positions:
Be1 0.000 0.000 0.000
Al1 0.500 0.500 0.500
Au1 0.000 0.500 0.500
Au2 0.500 0.000 0.500
Au3 0.500 0.500 0.000

Model D:
BeAlAu3: relaxed, GGA-PBE.

## Properties
As for the space group: C2/c. As for the size of the total moment: 0.000 Bohr magnetons per cell. The value obtained for the density of states at the Fermi level is 0.89 states/eV/f.u.

Cell: 8.008 8.008 5.038 Å, 90.35 90.35 91.90°
Fractional positions:
Be1 0.042 0.958 0.750
Be2 0.168 0.832 0.250
Be3 0.832 0.168 0.750
Be4 0.958 0.042 0.250
Al1 0.284 0.436 0.951
Al2 0.436 0.284 0.451
Al3 0.564 0.716 0.549
Al4 0.716 0.564 0.049
Au1 0.052 0.662 0.907
Au2 0.097 0.241 0.581
Au3 0.241 0.097 0.081
Au4 0.262 0.559 0.455
Au5 0.338 0.948 0.593
Au6 0.441 0.738 0.045
Au7 0.559 0.262 0.955
Au8 0.662 0.052 0.407
Au9 0.738 0.441 0.545
Au10 0.759 0.903 0.919
Au11 0.903 0.759 0.419
Au12 0.948 0.338 0.093

The data favor model B; the next most stable structure lies 15 meV per atom above it.

Model A:
Be2AlAu2: relaxed, GGA-PBE.

## Properties
As for the space group: P4/mbm. As for the size of the total moment: 0.000 Bohr magnetons per cell. The value obtained for the density of states at the Fermi level is 1.13 states/eV/f.u.

Cell: 6.889 6.889 2.891 Å, 90.00 90.00 90.00°
Fractional positions:
Be1 0.118 0.382 0.000
Be2 0.382 0.882 0.000
Be3 0.618 0.118 0.000
Be4 0.882 0.618 0.000
Al1 0.000 0.000 0.000
Al2 0.500 0.500 0.000
Au1 0.177 0.677 0.500
Au2 0.323 0.177 0.500
Au3 0.677 0.823 0.500
Au4 0.823 0.323 0.500

Model B:
Be2AlAu2: relaxed, GGA-PBE.

## Properties
As for the space group: P4/mbm. As for the size of the total moment: 0.000 Bohr magnetons per cell. The value obtained for the density of states at the Fermi level is 1.26 states/eV/f.u.

Cell: 7.032 7.032 2.875 Å, 90.00 90.00 90.00°
Fractional positions:
Be1 0.148 0.352 0.000
Be2 0.352 0.852 0.000
Be3 0.648 0.148 0.000
Be4 0.852 0.648 0.000
Al1 0.000 0.000 0.500
Al2 0.500 0.500 0.500
Au1 0.150 0.650 0.500
Au2 0.350 0.150 0.500
Au3 0.650 0.850 0.500
Au4 0.850 0.350 0.500

The data favor model A; the next most stable structure lies 7 meV per atom above it.

Model A:
Be3AlAu: relaxed, GGA-PBE.

## Properties
As for the space group: Pm-3m. As for the size of the total moment: 0.000 Bohr magnetons per cell. The value obtained for the density of states at the Fermi level is 1.18 states/eV/f.u.

Cell: 4.301 4.301 4.301 Å, 90.00 90.00 90.00°
Fractional positions:
Be1 0.000 0.000 0.500
Be2 0.000 0.500 0.000
Be3 0.500 0.000 0.000
Al1 0.000 0.000 0.000
Au1 0.500 0.500 0.500

Model B:
Be3AlAu: relaxed, GGA-PBE.

## Properties
As for the space group: Pm-3m. As for the size of the total moment: 0.000 Bohr magnetons per cell. The value obtained for the density of states at the Fermi level is 1.68 states/eV/f.u.

Cell: 4.356 4.356 4.356 Å, 90.00 90.00 90.00°
Fractional positions:
Be1 0.000 0.000 0.500
Be2 0.000 0.500 0.000
Be3 0.500 0.000 0.000
Al1 0.500 0.500 0.500
Au1 0.000 0.000 0.000

The data favor model B; the next most stable structure lies 419 meV per atom above it.

Model A:
BeAl2Au6: relaxed, GGA-PBE.

## Properties
As for the space group: C2/m. As for the size of the total moment: 0.000 Bohr magnetons per cell. The value obtained for the density of states at the Fermi level is 2.41 states/eV/f.u.

Cell: 4.908 4.908 8.408 Å, 101.50 101.50 49.05°
Fractional positions:
Be1 0.000 0.000 0.000
Al1 0.304 0.304 0.753
Al2 0.696 0.696 0.247
Au1 0.013 0.013 0.296
Au2 0.338 0.338 0.429
Au3 0.360 0.360 0.067
Au4 0.640 0.640 0.933
Au5 0.662 0.662 0.571
Au6 0.987 0.987 0.704

Model B:
BeAl2Au6: relaxed, GGA-PBE.

## Properties
As for the space group: C2/m. As for the size of the total moment: 0.000 Bohr magnetons per cell. The value obtained for the density of states at the Fermi level is 2.92 states/eV/f.u.

Cell: 6.211 6.211 7.596 Å, 123.48 123.48 41.44°
Fractional positions:
Be1 0.000 0.000 0.000
Al1 0.125 0.125 0.482
Al2 0.875 0.875 0.518
Au1 0.140 0.140 0.844
Au2 0.261 0.261 0.294
Au3 0.443 0.443 0.777
Au4 0.557 0.557 0.223
Au5 0.739 0.739 0.706
Au6 0.860 0.860 0.156

The data favor model A; the next most stable structure lies 12 meV per atom above it.